# 1
# PuThNi17

Crystalline PuThNi17 at its relaxed geometry (GGA-PBE, Alexandria via LeMat-Bulk).

## Properties
Final energy   -6.489 eV per atom
DOS at the Fermi energy   37.4 states/eV per cell
E_form   -0.171 eV/atom

```
PuThNi17
1.0
4.159 2.401 4.034
-4.159 2.401 4.034
0.000 -4.802 4.034
Pu Th Ni
1 1 17
Cartesian
0.000 0.000 0.000
0.000 0.000 3.914
0.000 -2.407 2.125
-2.084 1.203 2.125
-2.089 -1.206 6.013
0.000 -2.407 5.843
-2.084 1.203 5.843
-1.224 -2.116 8.024
-2.445 -0.002 8.024
2.084 1.203 2.125
0.000 0.000 6.830
1.224 -2.116 8.024
-1.221 2.119 8.024
2.089 -1.206 6.013
0.000 2.413 6.013
0.000 0.000 9.225
2.084 1.203 5.843
2.445 -0.002 8.024
1.221 2.119 8.024
```



# 2
# Cu2WSe

Crystalline Cu2WSe at its relaxed geometry (GGA-PBE, Alexandria via LeMat-Bulk).

## Properties
Final energy   -5.637 eV per atom
DOS at the Fermi energy   2.6 states/eV per cell

```
Cu2WSe
1.0
2.998 0.000 0.000
0.000 4.226 0.000
0.000 0.000 4.601
Cu W Se
2 1 1
Cartesian
0.000 0.000 0.000
1.499 2.113 0.000
0.000 2.113 2.300
1.499 0.000 2.300
```



# 3
# VMoPt

Crystalline VMoPt at its relaxed geometry (GGA-PBE, Alexandria via LeMat-Bulk).

## Properties
Final energy   -8.900 eV per atom
DOS at the Fermi energy   5.2 states/eV per cell
Polymorph energy (0 for the lowest one)   0.044 eV/atom
E_form   -0.237 eV/atom

```
VMoPt
1.0
4.299 -1.964 0.000
4.299 1.964 0.000
-1.306 0.000 5.341
V Mo Pt
2 2 2
Cartesian
0.000 0.000 0.000
4.627 0.000 4.404
1.768 0.000 3.494
7.651 0.000 2.750
2.542 0.000 0.753
5.099 0.000 1.673
```



# 4
# PrTmAlRh

Crystalline PrTmAlRh at its relaxed geometry (GGA-PBE, Alexandria via LeMat-Bulk).

## Properties
Final energy   -5.555 eV per atom
DOS at the Fermi energy   4.1 states/eV per cell
E_form   -0.469 eV/atom

```
PrTmAlRh
1.0
0.000 3.580 3.580
3.580 0.000 3.580
3.580 3.580 0.000
Pr Tm Al Rh
1 1 1 1
Cartesian
0.000 0.000 0.000
3.580 3.580 3.580
1.790 1.790 1.790
5.370 5.370 5.370
```



# 5
# FeTcAu2

Crystalline FeTcAu2 at its relaxed geometry (GGA-PBE, Alexandria via LeMat-Bulk).

## Properties
Final energy   -5.991 eV per atom
DOS at the Fermi energy   4.8 states/eV per cell
Polymorph energy (0 for the lowest one)   0.180 eV/atom
E_form   0.355 eV/atom

```
FeTcAu2
1.0
2.722 0.000 0.000
0.000 4.106 0.000
0.000 0.000 5.641
Fe Tc Au
1 1 2
Cartesian
0.000 0.000 0.000
0.000 0.000 2.820
1.361 2.053 1.400
1.361 2.053 4.241
```



# 6
# ZrCdP

Crystalline ZrCdP at its relaxed geometry (GGA-PBE, Alexandria via LeMat-Bulk).

## Properties
Final energy   -5.258 eV per atom
DOS at the Fermi energy   2.4 states/eV per cell
Polymorph energy (0 for the lowest one)   0.094 eV/atom
E_form   -0.300 eV/atom

```
ZrCdP
1.0
3.772 0.000 0.000
-1.886 3.267 0.000
0.000 0.000 5.442
Zr Cd P
1 1 1
Cartesian
0.000 0.000 0.000
1.886 1.089 2.342
0.000 2.178 4.129
```



# 7
# AlSn3Au3

Crystalline AlSn3Au3 at its relaxed geometry (GGA-PBE, Alexandria via LeMat-Bulk).

## Properties
Final energy   -3.778 eV per atom
DOS at the Fermi energy   4.3 states/eV per cell
E_form   -0.124 eV/atom

```
AlSn3Au3
1.0
4.171 -5.520 0.000
4.171 5.520 0.000
-0.811 0.000 7.022
Al Sn Au
2 6 6
Cartesian
0.990 0.000 1.008
6.541 0.000 6.014
3.765 3.784 3.511
4.171 2.579 0.000
3.520 0.000 4.972
4.011 0.000 2.050
4.171 -2.579 0.000
3.765 -3.784 3.511
2.021 2.133 1.959
0.764 0.000 5.523
2.021 -2.133 1.959
5.510 2.133 5.063
6.767 0.000 1.499
5.510 -2.133 5.063
```



# 8
# CaVCu

Crystalline CaVCu at its relaxed geometry (GGA-PBE, Alexandria via LeMat-Bulk).

## Properties
Final energy   -4.780 eV per atom
DOS at the Fermi energy   4.8 states/eV per cell
Polymorph energy (0 for the lowest one)   0.042 eV/atom
E_form   0.293 eV/atom

```
CaVCu
1.0
3.347 0.000 0.000
-1.067 5.515 0.000
-1.659 -1.455 6.573
Ca V Cu
2 2 2
Cartesian
0.088 1.687 1.387
0.534 2.373 5.185
-1.316 4.101 2.844
1.937 -0.040 3.729
0.103 -0.712 5.553
0.518 4.773 1.020
```



# 9
# Zr3ScBi3

Crystalline Zr3ScBi3 at its relaxed geometry (GGA-PBE, Alexandria via LeMat-Bulk).

## Properties
Final energy   -6.372 eV per atom
DOS at the Fermi energy   19.7 states/eV per cell
E_form   -0.141 eV/atom

```
Zr3ScBi3
1.0
3.838 2.216 7.661
-3.838 2.216 7.661
0.000 -4.431 7.661
Zr Sc Bi
6 2 6
Cartesian
-1.925 -2.084 10.611
-2.767 0.625 12.372
0.842 -2.709 12.372
-0.842 2.709 10.611
2.767 -0.625 10.611
1.925 2.084 12.372
0.000 0.000 7.603
0.000 0.000 15.380
-2.499 0.500 9.239
-1.682 -1.914 13.744
0.817 -2.414 9.239
-0.817 2.414 13.744
1.682 1.914 9.239
2.499 -0.500 13.744
```



# 10
# YScSeBr2

Crystalline YScSeBr2 at its relaxed geometry (GGA-PBE, Alexandria via LeMat-Bulk).

## Properties
Final energy   -4.844 eV per atom
DOS at the Fermi energy   5.2 states/eV per cell
Polymorph energy (0 for the lowest one)   0.000 eV/atom

```
YScSeBr2
1.0
5.160 0.000 0.000
0.000 5.160 0.000
0.000 0.000 5.284
Y Sc Se Br
1 1 1 2
Cartesian
0.000 0.000 0.000
2.580 2.580 2.642
2.580 2.580 0.000
0.000 2.580 2.642
2.580 0.000 2.642
```



# 11
# KCuTe4

Crystalline KCuTe4 at its relaxed geometry (GGA-PBE, Alexandria via LeMat-Bulk).

## Properties
Final energy   -2.741 eV per atom
DOS at the Fermi energy   2.8 states/eV per cell

```
KCuTe4
1.0
0.000 4.586 4.586
4.586 0.000 4.586
4.586 4.586 0.000
K Cu Te
1 1 4
Cartesian
0.000 0.000 0.000
2.293 2.293 2.293
5.723 3.449 3.449
3.449 5.723 3.449
3.449 3.449 5.723
5.723 5.723 5.723
```



# 12
# NaSr2Pd

Crystalline NaSr2Pd at its relaxed geometry (GGA-PBE, Alexandria via LeMat-Bulk).

## Properties
Final energy   -2.766 eV per atom
DOS at the Fermi energy   2.5 states/eV per cell
Polymorph energy (0 for the lowest one)   0.043 eV/atom
E_form   -0.298 eV/atom

```
NaSr2Pd
1.0
3.836 0.000 0.000
0.000 3.836 0.000
0.000 0.000 9.631
Na Sr Pd
1 2 1
Cartesian
0.000 0.000 0.000
1.918 1.918 3.027
1.918 1.918 6.605
0.000 0.000 4.816
```



The highest DOS at the Fermi energy belongs to which entry?
PuThNi17



What is the formula in the twelfth record?
NaSr2Pd



Which of these has the lowest final energy?
VMoPt